1.
Density functional theory data (PBE-GGA) for SiBr3 after structural relaxation.

abc: 5.177 5.177 5.177
angles: 60.00 60.00 60.00
Each line ends with the local moment (μB).
Positions (direct):
1 Si 0.000 0.000 0.000  0.00
2 Br 0.250 0.250 0.250  0.15
3 Br 0.750 0.750 0.750  0.15
4 Br 0.500 0.500 0.500  0.35

Results
**ΔE_f (raw)**: 0.45 eV per atom
**Uncorrected energy**: -8.6 eV for the cell shown

2.
Density functional theory data (PBE-GGA) for Zr3Sc7 after structural relaxation.

abc: 4.537 6.488 8.538
angles: 101.16 105.41 90.00
Positions (direct):
1 Zr 0.000 0.000 0.000
2 Zr 0.797 0.407 0.594
3 Zr 0.203 0.593 0.406
4 Sc 0.000 0.500 0.000
5 Sc 0.801 0.894 0.602
6 Sc 0.199 0.106 0.398
7 Sc 0.601 0.300 0.201
8 Sc 0.399 0.700 0.799
9 Sc 0.600 0.802 0.199
10 Sc 0.400 0.198 0.801

Results
**Uncorrected energy**: -69.8 eV for the cell shown
**DFT formation energy**: 0.02 eV/atom

3.
Density functional theory data (PBE-GGA) for MgInGaO4 after structural relaxation.

abc: 8.754 8.754 8.754
angles: 22.28 22.28 22.28
Positions (direct):
1 Mg 0.215 0.215 0.215
2 In 0.002 0.002 0.002
3 Ga 0.788 0.788 0.788
4 O 0.124 0.124 0.124
5 O 0.865 0.865 0.865
6 O 0.294 0.294 0.294
7 O 0.712 0.712 0.712

Results
**ΔE_f (raw)**: -2.00 eV per atom
**Uncorrected energy**: -41.2 eV for the cell shown

4.
Density functional theory data (PBE-GGA) for LiLaDyPt after structural relaxation.

abc: 5.119 5.119 5.119
angles: 60.00 60.00 60.00
Positions (direct):
1 La 0.500 0.500 0.500
2 Li 0.250 0.250 0.250
3 Pt 0.750 0.750 0.750
4 Dy 0.000 0.000 0.000

Results
**Uncorrected energy**: -19.8 eV for the cell shown
**DFT formation energy**: -0.57 eV/atom

The records above yield volume values of 98.09; 237.36; 84.54; 94.86 Å³ per cell, respectively.
The records above yield Fermi-level density of states values of 5.06; 13.72; 0.00; 3.55 states/eV/f.u., respectively.